(1)
# TiIrRu3

A relaxed TiIrRu3 crystal (PBE-GGA, Alexandria).

POSCAR file:
```
TiIrRu3
1.0
4.650 0.000 0.000
0.000 4.650 0.000
0.000 0.000 4.650
Ti Ir Ru
1 1 3
Cartesian
2.325 2.325 2.325
0.000 0.000 0.000
0.000 2.325 0.000
0.000 0.000 2.325
2.325 0.000 0.000
```

Properties
Energy relative to the elements in eV/atom: 1.5502
E_tot in eV/cell: -36.8

(2)
# Ti6IrRu5

A relaxed Ti6IrRu5 crystal (PBE-GGA, Alexandria).

POSCAR file:
```
Ti6IrRu5
1.0
-3.998 -1.712 0.415
2.480 -5.416 1.558
0.656 5.331 5.317
Ru Ir Ti
5 1 6
Cartesian
1.240 -2.708 0.779
1.172 -1.527 4.993
-0.793 -2.974 3.091
-0.068 1.177 4.199
-2.033 -0.270 2.297
0.000 0.000 0.000
-1.451 -1.029 4.779
-1.370 -2.228 0.602
-2.683 1.663 4.005
1.822 -3.460 3.286
-0.147 -4.900 1.371
0.590 -0.768 2.511
```

Properties
Energy relative to the elements in eV/atom: -0.7822
E_tot in eV/cell: -112.0

Number 1: mass density 9.0 g cm⁻³. Number 2: mass density 9.3 g cm⁻³.